The following is a PBE calculation of a relaxed IrPtIF2 crystal, from Alexandria via LeMat-Bulk.

Computed properties:
Space group: P4/mmm (123)
Raw total energy, eV per atom: -3.624

Unit cell a=4.186 b=4.186 c=5.149 alpha=90.00 beta=90.00 gamma=90.00
Sites, in units of the cell vectors:
Ir1 0.000 0.000 0.000
Pt1 0.500 0.500 0.000
I1 0.000 0.000 0.500
F1 0.000 0.500 0.500
F2 0.500 0.000 0.500